A | Computed, not measured: a geometry-optimized NbHg2F6 structure at the GGA-PBE level of DFT.

Summary:
N(E_F): 5.8 states/eV per cell
total moment: 0.000 μB/cell
calculated volume: 170 Å³/f.u.

Lattice parameters (Å, degrees): 9.444 9.444 6.407 70.18 70.17 39.66
Positions (direct):
Nb (0.125, 0.125, 0.125)
Nb (0.875, 0.875, 0.875)
Hg (0.000, 0.500, 0.500)
Hg (0.500, 0.000, 0.500)
Hg (0.500, 0.500, 0.000)
Hg (0.500, 0.500, 0.500)
F (0.009, 0.009, 0.241)
F (0.090, 0.660, 0.090)
F (0.090, 0.660, 0.660)
F (0.241, 0.241, 0.009)
F (0.340, 0.910, 0.340)
F (0.340, 0.910, 0.910)
F (0.660, 0.090, 0.090)
F (0.660, 0.090, 0.660)
F (0.759, 0.759, 0.991)
F (0.910, 0.340, 0.340)
F (0.910, 0.340, 0.910)
F (0.991, 0.991, 0.759)


B | Computed, not measured: a geometry-optimized NbHg2F6 structure at the GGA-PBE level of DFT.

Summary:
N(E_F): 0.6 states/eV per cell
total moment: 0.000 μB/cell
calculated volume: 164 Å³/f.u.

Lattice parameters (Å, degrees): 5.174 5.174 7.088 90.00 90.00 120.00
Positions (direct):
Nb (0.000, 0.000, 0.000)
Hg (0.333, 0.667, 0.500)
Hg (0.667, 0.333, 0.500)
F (0.000, 0.302, 0.837)
F (0.000, 0.698, 0.163)
F (0.302, 0.000, 0.837)
F (0.302, 0.302, 0.163)
F (0.698, 0.000, 0.163)
F (0.698, 0.698, 0.837)


Of them, B has the highest stability.


A | Computed, not measured: a geometry-optimized NbHg2F structure at the GGA-PBE level of DFT.

Summary:
N(E_F): 22.1 states/eV per cell
total moment: 0.000 μB/cell
calculated volume: 77 Å³/f.u.

Lattice parameters (Å, degrees): 6.740 6.740 6.740 90.00 90.00 90.00
Positions (direct):
Nb (0.000, 0.000, 0.000)
Nb (0.000, 0.500, 0.500)
Nb (0.500, 0.000, 0.500)
Nb (0.500, 0.500, 0.000)
Hg (0.250, 0.250, 0.250)
Hg (0.250, 0.250, 0.750)
Hg (0.250, 0.750, 0.250)
Hg (0.250, 0.750, 0.750)
Hg (0.750, 0.250, 0.250)
Hg (0.750, 0.250, 0.750)
Hg (0.750, 0.750, 0.250)
Hg (0.750, 0.750, 0.750)
F (0.000, 0.000, 0.500)
F (0.000, 0.500, 0.000)
F (0.500, 0.000, 0.000)
F (0.500, 0.500, 0.500)


B | Computed, not measured: a geometry-optimized NbHg2F structure at the GGA-PBE level of DFT.

Summary:
N(E_F): 10.5 states/eV per cell
total moment: 8.858 μB/cell
calculated volume: 80 Å³/f.u.

Lattice parameters (Å, degrees): 7.675 7.675 5.415 90.00 90.00 90.00
Positions (direct):
Nb (0.000, 0.000, 0.000)
Nb (0.000, 0.500, 0.250)
Nb (0.500, 0.000, 0.750)
Nb (0.500, 0.500, 0.500)
Hg (0.216, 0.250, 0.625)
Hg (0.250, 0.716, 0.875)
Hg (0.250, 0.784, 0.375)
Hg (0.284, 0.250, 0.125)
Hg (0.716, 0.750, 0.125)
Hg (0.750, 0.216, 0.375)
Hg (0.750, 0.284, 0.875)
Hg (0.784, 0.750, 0.625)
F (0.000, 0.000, 0.500)
F (0.000, 0.500, 0.750)
F (0.500, 0.000, 0.250)
F (0.500, 0.500, 0.000)


Of them, B has the highest stability.


A | Computed, not measured: a geometry-optimized NbHgF2 structure at the GGA-PBE level of DFT.

Summary:
N(E_F): 9.8 states/eV per cell
total moment: 2.756 μB/cell
calculated volume: 69 Å³/f.u.

Lattice parameters (Å, degrees): 4.406 4.406 14.300 90.00 90.00 90.00
Positions (direct):
Nb (0.000, 0.000, 0.000)
Nb (0.000, 0.500, 0.250)
Nb (0.500, 0.000, 0.750)
Nb (0.500, 0.500, 0.500)
Hg (0.000, 0.000, 0.500)
Hg (0.000, 0.500, 0.750)
Hg (0.500, 0.000, 0.250)
Hg (0.500, 0.500, 0.000)
F (0.070, 0.250, 0.125)
F (0.250, 0.570, 0.375)
F (0.250, 0.930, 0.875)
F (0.430, 0.250, 0.625)
F (0.570, 0.750, 0.625)
F (0.750, 0.070, 0.875)
F (0.750, 0.430, 0.375)
F (0.930, 0.750, 0.125)


B | Computed, not measured: a geometry-optimized NbHgF2 structure at the GGA-PBE level of DFT.

Summary:
N(E_F): 4.8 states/eV per cell
total moment: 0.000 μB/cell
calculated volume: 71 Å³/f.u.

Lattice parameters (Å, degrees): 2.905 2.905 28.963 90.00 90.00 120.00
Positions (direct):
Nb (0.000, 0.000, 0.000)
Nb (0.333, 0.667, 0.667)
Nb (0.667, 0.333, 0.333)
Hg (0.000, 0.000, 0.500)
Hg (0.333, 0.667, 0.167)
Hg (0.667, 0.333, 0.833)
F (0.000, 0.000, 0.386)
F (0.000, 0.000, 0.614)
F (0.333, 0.667, 0.052)
F (0.333, 0.667, 0.281)
F (0.667, 0.333, 0.719)
F (0.667, 0.333, 0.948)


C | Computed, not measured: a geometry-optimized NbHgF2 structure at the GGA-PBE level of DFT.

Summary:
N(E_F): 7.3 states/eV per cell
total moment: 12.000 μB/cell
calculated volume: 63 Å³/f.u.

Lattice parameters (Å, degrees): 6.324 6.324 6.324 90.00 90.00 90.00
Positions (direct):
Nb (0.000, 0.000, 0.000)
Nb (0.000, 0.500, 0.500)
Nb (0.500, 0.000, 0.500)
Nb (0.500, 0.500, 0.000)
Hg (0.000, 0.000, 0.500)
Hg (0.000, 0.500, 0.000)
Hg (0.500, 0.000, 0.000)
Hg (0.500, 0.500, 0.500)
F (0.250, 0.250, 0.250)
F (0.250, 0.250, 0.750)
F (0.250, 0.750, 0.250)
F (0.250, 0.750, 0.750)
F (0.750, 0.250, 0.250)
F (0.750, 0.250, 0.750)
F (0.750, 0.750, 0.250)
F (0.750, 0.750, 0.750)


Of them, B has the highest stability.


A | Computed, not measured: a geometry-optimized Nd2HgF structure at the GGA-PBE level of DFT.

Summary:
N(E_F): 9.8 states/eV per cell
total moment: 0.000 μB/cell
calculated volume: 98 Å³/f.u.

Lattice parameters (Å, degrees): 3.925 3.925 22.064 90.00 90.00 120.00
Positions (direct):
Nd (0.000, 0.000, 0.230)
Nd (0.000, 0.000, 0.770)
Nd (0.333, 0.667, 0.436)
Nd (0.333, 0.667, 0.897)
Nd (0.667, 0.333, 0.103)
Nd (0.667, 0.333, 0.564)
Hg (0.000, 0.000, 0.000)
Hg (0.333, 0.667, 0.667)
Hg (0.667, 0.333, 0.333)
F (0.000, 0.000, 0.500)
F (0.333, 0.667, 0.167)
F (0.667, 0.333, 0.833)


B | Computed, not measured: a geometry-optimized Nd2HgF structure at the GGA-PBE level of DFT.

Summary:
N(E_F): 3.2 states/eV per cell
total moment: 0.000 μB/cell
calculated volume: 92 Å³/f.u.

Lattice parameters (Å, degrees): 3.384 3.384 8.063 90.00 90.00 90.00
Positions (direct):
Nd (0.000, 0.000, 0.232)
Nd (0.000, 0.000, 0.768)
Hg (0.500, 0.500, 0.500)
F (0.500, 0.500, 0.000)


Of them, A has the highest stability.